No. 1
# NaMg3Pb6 (PBE-GGA, optimized geometry)
data_NaMg3Pb6
_cell_length_a 10.4348
_cell_length_b 4.9485
_cell_length_c 10.8654
_cell_angle_alpha 90.00
_cell_angle_beta 93.64
_cell_angle_gamma 90.00
_space_group_name_H-M_alt 'P 1'
_space_group_IT_number 1
_space_group_name_Hall 'P 1'
loop_
_atom_site_label
_atom_site_type_symbol
_atom_site_fract_x
_atom_site_fract_y
_atom_site_fract_z
Na1 Na 0.0552 0.2500 0.4020
Na2 Na 0.9448 0.7500 0.5980
Mg1 Mg 0.2505 0.2500 0.0093
Mg2 Mg 0.3499 0.7500 0.8094
Mg3 Mg 0.4503 0.2500 0.6028
Mg4 Mg 0.5497 0.7500 0.3972
Mg5 Mg 0.6501 0.2500 0.1906
Mg6 Mg 0.7495 0.7500 0.9907
Pb1 Pb 0.0592 0.7500 0.9035
Pb2 Pb 0.1539 0.7500 0.2028
Pb3 Pb 0.1710 0.2500 0.7141
Pb4 Pb 0.2741 0.7500 0.5157
Pb5 Pb 0.3714 0.2500 0.3050
Pb6 Pb 0.4583 0.7500 0.1000
Pb7 Pb 0.5417 0.2500 0.9000
Pb8 Pb 0.6286 0.7500 0.6950
Pb9 Pb 0.7259 0.2500 0.4843
Pb10 Pb 0.8290 0.7500 0.2859
Pb11 Pb 0.8461 0.2500 0.7972
Pb12 Pb 0.9408 0.2500 0.0965
# Energy of formation = -73 meV/atom



No. 2
# NaMg3Pb6 (PBE-GGA, optimized geometry)
data_NaMg3Pb6
_cell_length_a 8.6551
_cell_length_b 8.1269
_cell_length_c 10.2492
_cell_angle_alpha 90.00
_cell_angle_beta 124.64
_cell_angle_gamma 90.00
_space_group_name_H-M_alt 'P 1'
_space_group_IT_number 1
_space_group_name_Hall 'P 1'
loop_
_atom_site_label
_atom_site_type_symbol
_atom_site_fract_x
_atom_site_fract_y
_atom_site_fract_z
Na1 Na 0.0000 0.0000 0.0000
Na2 Na 0.0000 0.5000 0.5000
Mg1 Mg 0.2512 0.1599 0.4572
Mg2 Mg 0.2512 0.3401 0.9572
Mg3 Mg 0.5000 0.0000 0.0000
Mg4 Mg 0.5000 0.5000 0.5000
Mg5 Mg 0.7488 0.6599 0.0428
Mg6 Mg 0.7488 0.8401 0.5428
Pb1 Pb 0.1197 0.0927 0.6790
Pb2 Pb 0.1197 0.4073 0.1790
Pb3 Pb 0.2456 0.7078 0.8220
Pb4 Pb 0.2456 0.7922 0.3220
Pb5 Pb 0.4799 0.1346 0.2934
Pb6 Pb 0.4799 0.3654 0.7934
Pb7 Pb 0.5201 0.6346 0.2066
Pb8 Pb 0.5201 0.8654 0.7066
Pb9 Pb 0.7544 0.2078 0.6780
Pb10 Pb 0.7544 0.2922 0.1780
Pb11 Pb 0.8803 0.5927 0.8210
Pb12 Pb 0.8803 0.9073 0.3210
# Energy of formation = -10 meV/atom



No. 3
# Na3MgPb3 (PBE-GGA, optimized geometry)
data_Na3MgPb3
_cell_length_a 8.0691
_cell_length_b 8.0691
_cell_length_c 7.7463
_cell_angle_alpha 93.82
_cell_angle_beta 93.82
_cell_angle_gamma 112.66
_space_group_name_H-M_alt 'P 1'
_space_group_IT_number 1
_space_group_name_Hall 'P 1'
loop_
_atom_site_label
_atom_site_type_symbol
_atom_site_fract_x
_atom_site_fract_y
_atom_site_fract_z
Na1 Na 0.1130 0.8870 0.0000
Na2 Na 0.2339 0.7661 0.5000
Na3 Na 0.4023 0.4023 0.1722
Na4 Na 0.5977 0.5977 0.8278
Na5 Na 0.7661 0.2339 0.5000
Na6 Na 0.8870 0.1130 0.0000
Mg1 Mg 0.2198 0.2198 0.7297
Mg2 Mg 0.7802 0.7802 0.2703
Pb1 Pb 0.1155 0.1155 0.3602
Pb2 Pb 0.1472 0.5363 0.8660
Pb3 Pb 0.4637 0.8528 0.1340
Pb4 Pb 0.5363 0.1472 0.8660
Pb5 Pb 0.8528 0.4637 0.1340
Pb6 Pb 0.8845 0.8845 0.6398
# Energy of formation = -16 meV/atom



No. 4
# NaMgPb2 (PBE-GGA, optimized geometry)
data_NaMgPb2
_cell_length_a 4.9591
_cell_length_b 4.9591
_cell_length_c 4.3983
_cell_angle_alpha 90.00
_cell_angle_beta 90.00
_cell_angle_gamma 90.00
_space_group_name_H-M_alt 'P 1'
_space_group_IT_number 1
_space_group_name_Hall 'P 1'
loop_
_atom_site_label
_atom_site_type_symbol
_atom_site_fract_x
_atom_site_fract_y
_atom_site_fract_z
Na1 Na 0.0000 0.0000 0.0000
Mg1 Mg 0.5000 0.5000 0.0000
Pb1 Pb 0.0000 0.5000 0.5000
Pb2 Pb 0.5000 0.0000 0.5000
# Energy of formation = -103 meV/atom



No. 5
# NaMg2Pb9 (PBE-GGA, optimized geometry)
data_NaMg2Pb9
_cell_length_a 10.8060
_cell_length_b 10.8060
_cell_length_c 3.5879
_cell_angle_alpha 90.00
_cell_angle_beta 90.00
_cell_angle_gamma 120.00
_space_group_name_H-M_alt 'P 1'
_space_group_IT_number 1
_space_group_name_Hall 'P 1'
loop_
_atom_site_label
_atom_site_type_symbol
_atom_site_fract_x
_atom_site_fract_y
_atom_site_fract_z
Na1 Na 0.0000 0.0000 0.0000
Mg1 Mg 0.3333 0.6667 0.0000
Mg2 Mg 0.6667 0.3333 0.0000
Pb1 Pb 0.0000 0.5000 0.0000
Pb2 Pb 0.1803 0.3606 0.5000
Pb3 Pb 0.1803 0.8197 0.5000
Pb4 Pb 0.3606 0.1803 0.5000
Pb5 Pb 0.5000 0.0000 0.0000
Pb6 Pb 0.5000 0.5000 0.0000
Pb7 Pb 0.6394 0.8197 0.5000
Pb8 Pb 0.8197 0.1803 0.5000
Pb9 Pb 0.8197 0.6394 0.5000
# Energy of formation = -4 meV/atom



No. 6
# Na2MgPb (PBE-GGA, optimized geometry)
data_Na2MgPb
_cell_length_a 3.7008
_cell_length_b 3.7008
_cell_length_c 8.3721
_cell_angle_alpha 90.00
_cell_angle_beta 90.00
_cell_angle_gamma 90.00
_space_group_name_H-M_alt 'P 1'
_space_group_IT_number 1
_space_group_name_Hall 'P 1'
loop_
_atom_site_label
_atom_site_type_symbol
_atom_site_fract_x
_atom_site_fract_y
_atom_site_fract_z
Na1 Na 0.0000 0.0000 0.2421
Na2 Na 0.0000 0.0000 0.7579
Mg1 Mg 0.5000 0.5000 0.5000
Pb1 Pb 0.5000 0.5000 0.0000
# Energy of formation = 7 meV/atom



No. 7
# Na2Mg3Pb2 (PBE-GGA, optimized geometry)
data_Na2Mg3Pb2
_cell_length_a 4.9111
_cell_length_b 4.9945
_cell_length_c 9.0304
_cell_angle_alpha 79.53
_cell_angle_beta 78.70
_cell_angle_gamma 66.26
_space_group_name_H-M_alt 'P 1'
_space_group_IT_number 1
_space_group_name_Hall 'P 1'
loop_
_atom_site_label
_atom_site_type_symbol
_atom_site_fract_x
_atom_site_fract_y
_atom_site_fract_z
Na1 Na 0.1485 0.1610 0.1074
Na2 Na 0.8515 0.8390 0.8926
Mg1 Mg 0.0000 0.0000 0.5000
Mg2 Mg 0.3845 0.3949 0.3722
Mg3 Mg 0.6155 0.6051 0.6278
Pb1 Pb 0.2386 0.2275 0.7221
Pb2 Pb 0.7614 0.7725 0.2779
# Energy of formation = -100 meV/atom



No. 8
# Na2Mg3Pb3 (PBE-GGA, optimized geometry)
data_Na2Mg3Pb3
_cell_length_a 8.5234
_cell_length_b 8.5234
_cell_length_c 3.5719
_cell_angle_alpha 90.00
_cell_angle_beta 90.00
_cell_angle_gamma 120.00
_space_group_name_H-M_alt 'P 1'
_space_group_IT_number 1
_space_group_name_Hall 'P 1'
loop_
_atom_site_label
_atom_site_type_symbol
_atom_site_fract_x
_atom_site_fract_y
_atom_site_fract_z
Na1 Na 0.3333 0.6667 0.0000
Na2 Na 0.6667 0.3333 0.0000
Mg1 Mg 0.0000 0.2269 0.0000
Mg2 Mg 0.2269 0.0000 0.0000
Mg3 Mg 0.7731 0.7731 0.0000
Pb1 Pb 0.0000 0.6587 0.5000
Pb2 Pb 0.3413 0.3413 0.5000
Pb3 Pb 0.6587 0.0000 0.5000
# Energy of formation = -24 meV/atom



No. 9
# Na2Mg2Pb7 (PBE-GGA, optimized geometry)
data_Na2Mg2Pb7
_cell_length_a 11.2481
_cell_length_b 11.2481
_cell_length_c 11.2481
_cell_angle_alpha 161.64
_cell_angle_beta 52.08
_cell_angle_gamma 131.72
_space_group_name_H-M_alt 'P 1'
_space_group_IT_number 1
_space_group_name_Hall 'P 1'
loop_
_atom_site_label
_atom_site_type_symbol
_atom_site_fract_x
_atom_site_fract_y
_atom_site_fract_z
Na1 Na 0.2414 0.0000 0.2414
Na2 Na 0.7586 0.0000 0.7586
Mg1 Mg 0.4022 0.9022 0.5000
Mg2 Mg 0.7149 0.7149 0.0000
Pb1 Pb 0.0628 0.0628 0.0000
Pb2 Pb 0.0712 0.7002 0.3711
Pb3 Pb 0.3291 0.7002 0.6289
Pb4 Pb 0.3944 0.5164 0.8780
Pb5 Pb 0.6384 0.5164 0.1220
Pb6 Pb 0.7149 0.3333 0.3815
Pb7 Pb 0.9518 0.3333 0.6185
# Energy of formation = -44 meV/atom



No. 10
# Na2Mg2Pb3 (PBE-GGA, optimized geometry)
data_Na2Mg2Pb3
_cell_length_a 5.1721
_cell_length_b 5.1962
_cell_length_c 9.3046
_cell_angle_alpha 73.99
_cell_angle_beta 73.94
_cell_angle_gamma 60.37
_space_group_name_H-M_alt 'P 1'
_space_group_IT_number 1
_space_group_name_Hall 'P 1'
loop_
_atom_site_label
_atom_site_type_symbol
_atom_site_fract_x
_atom_site_fract_y
_atom_site_fract_z
Na1 Na 0.1306 0.1312 0.1097
Na2 Na 0.8694 0.8688 0.8903
Mg1 Mg 0.3773 0.3769 0.3675
Mg2 Mg 0.6227 0.6231 0.6325
Pb1 Pb 0.0000 0.0000 0.5000
Pb2 Pb 0.2555 0.2574 0.7305
Pb3 Pb 0.7445 0.7426 0.2695
# Energy of formation = -109 meV/atom



No. 11
# NaMg4Pb (PBE-GGA, optimized geometry)
data_NaMg4Pb
_cell_length_a 6.0630
_cell_length_b 6.0630
_cell_length_c 6.0630
_cell_angle_alpha 60.00
_cell_angle_beta 60.00
_cell_angle_gamma 60.00
_space_group_name_H-M_alt 'P 1'
_space_group_IT_number 1
_space_group_name_Hall 'P 1'
loop_
_atom_site_label
_atom_site_type_symbol
_atom_site_fract_x
_atom_site_fract_y
_atom_site_fract_z
Na1 Na 0.0000 0.0000 0.0000
Mg1 Mg 0.3753 0.3753 0.3753
Mg2 Mg 0.3753 0.3753 0.8740
Mg3 Mg 0.3753 0.8740 0.3753
Mg4 Mg 0.8740 0.3753 0.3753
Pb1 Pb 0.7500 0.7500 0.7500
# Energy of formation = 24 meV/atom



No. 12
# Na3Mg5Pb2 (PBE-GGA, optimized geometry)
data_Na3Mg5Pb2
_cell_length_a 10.1420
_cell_length_b 10.1420
_cell_length_c 10.1420
_cell_angle_alpha 103.43
_cell_angle_beta 87.55
_cell_angle_gamma 144.15
_space_group_name_H-M_alt 'P 1'
_space_group_IT_number 1
_space_group_name_Hall 'P 1'
loop_
_atom_site_label
_atom_site_type_symbol
_atom_site_fract_x
_atom_site_fract_y
_atom_site_fract_z
Na1 Na 0.2301 0.1052 0.3354
Na2 Na 0.2500 0.2500 0.0000
Na3 Na 0.2699 0.6052 0.8751
Na4 Na 0.7301 0.3948 0.1249
Na5 Na 0.7500 0.7500 0.0000
Na6 Na 0.7699 0.8948 0.6646
Mg1 Mg 0.1529 0.3618 0.5147
Mg2 Mg 0.2500 0.5070 0.2570
Mg3 Mg 0.2500 0.7500 0.5000
Mg4 Mg 0.2500 0.9930 0.7430
Mg5 Mg 0.3471 0.8618 0.2090
Mg6 Mg 0.6529 0.1382 0.7910
Mg7 Mg 0.7500 0.0070 0.2570
Mg8 Mg 0.7500 0.2500 0.5000
Mg9 Mg 0.7500 0.4930 0.7430
Mg10 Mg 0.8471 0.6382 0.4853
Pb1 Pb 0.1494 0.8416 0.9910
Pb2 Pb 0.3506 0.3416 0.6922
Pb3 Pb 0.6494 0.6584 0.3078
Pb4 Pb 0.8506 0.1584 0.0090
# Energy of formation = 35 meV/atom



| no. | DFT total energy (eV/atom) |
| --- | --- |
| 1 | -2.9087 |
| 2 | -2.8455 |
| 3 | -2.3988 |
| 4 | -2.6856 |
| 5 | -3.1607 |
| 6 | -1.9778 |
| 7 | -2.2194 |
| 8 | -2.3426 |
| 9 | -2.9331 |
| 10 | -2.5304 |
| 11 | -1.8774 |
| 12 | -1.9001 |